1.
## Zr5Al2Hg2 (PBE-GGA)

Data for a relaxed structure of Zr5Al2Hg2. Values from VASP.

The structure in Quantum ESPRESSO input format:
```
&SYSTEM
  ibrav = 0, nat = 18, ntyp = 3
/
ATOMIC_SPECIES
Zr 91.22 Zr.upf
Al 26.98 Al.upf
Hg 200.59 Hg.upf
ATOMIC_POSITIONS crystal
Zr 0.000 0.000 0.000
Zr 0.500 0.500 0.000
Zr 0.826 0.811 0.254
Zr 0.174 0.444 0.254
Zr 0.326 0.944 0.254
Zr 0.674 0.311 0.254
Zr 0.174 0.189 0.746
Zr 0.826 0.556 0.746
Zr 0.674 0.056 0.746
Zr 0.326 0.689 0.746
Al 0.625 0.878 0.000
Al 0.375 0.122 0.000
Al 0.125 0.622 0.000
Al 0.875 0.378 0.000
Hg 0.000 0.217 0.434
Hg 0.500 0.717 0.434
Hg 0.000 0.783 0.566
Hg 0.500 0.283 0.566
CELL_PARAMETERS angstrom
7.306 0.000 0.000
0.000 7.261 0.000
0.000 -3.630 7.442
```

The value obtained for the total energy is -5.883 eV per atom. The calculation puts the density of states at the Fermi level at 10.889 states/eV/f.u. The value obtained for the formation energy is -236 meV/atom. For the calculated volume, the calculation gives 21.93 A^3/atom. As for the space-group type: Cmce (64).

=====

2.
## Be2IrRh (PBE-GGA)

Data for a relaxed structure of Be2IrRh. Values from VASP.

The structure in Quantum ESPRESSO input format:
```
&SYSTEM
  ibrav = 0, nat = 4, ntyp = 3
/
ATOMIC_SPECIES
Be 9.01 Be.upf
Ir 192.22 Ir.upf
Rh 102.91 Rh.upf
ATOMIC_POSITIONS crystal
Be 0.001 0.001 0.000
Be 0.499 0.499 0.000
Ir 0.750 0.250 0.500
Rh 0.250 0.750 0.500
CELL_PARAMETERS angstrom
-2.392 2.669 2.689
-4.091 -1.806 0.266
4.307 -0.775 0.961
```

The value obtained for the total energy is -6.224 eV per atom. The calculation puts the density of states at the Fermi level at 1.461 states/eV/f.u. The value obtained for the formation energy is -307 meV/atom. For the calculated volume, the calculation gives 11.66 A^3/atom. As for the space-group type: Immm (71).

=====

3.
## Sm8Te4P3N (PBE-GGA)

Data for a relaxed structure of Sm8Te4P3N. Values from VASP.

The structure in Quantum ESPRESSO input format:
```
&SYSTEM
  ibrav = 0, nat = 16, ntyp = 4
/
ATOMIC_SPECIES
Sm 150.36 Sm.upf
Te 127.60 Te.upf
P 30.97 P.upf
N 14.01 N.upf
ATOMIC_POSITIONS crystal
Sm 0.224 0.701 0.978
Sm 0.224 0.702 0.449
Sm 0.263 0.288 0.525
Sm 0.754 0.701 0.978
Sm 0.246 0.299 0.022
Sm 0.737 0.712 0.475
Sm 0.776 0.298 0.551
Sm 0.776 0.299 0.022
Te 0.500 0.000 0.000
Te 0.500 0.000 0.500
Te 0.000 0.000 0.000
Te 0.000 0.000 0.500
P 0.500 0.500 0.000
P 0.500 0.500 0.500
P 0.000 0.500 0.500
N 0.000 0.500 0.000
CELL_PARAMETERS angstrom
-0.429 3.044 -7.653
-8.174 2.384 1.406
5.832 2.676 5.181
```

The value obtained for the total energy is -6.170 eV per atom. The calculation puts the density of states at the Fermi level at 5.548 states/eV/f.u. For the calculated volume, the calculation gives 26.50 A^3/atom. As for the space-group type: R-3m (166). The uncorrected formation energy comes out at -1490.8 meV/atom.